First-principles (PBE-GGA) data for a relaxed Pm2Ge crystal, as listed in OQMD.

Cell lengths 9.0470, 9.0470, 9.0470 Å; angles 60.00, 60.00, 60.00 degrees
Sites, in units of the cell vectors:
Pm: 0.0000 0.0000 0.0000
Pm: 0.0000 0.0000 0.5000
Pm: 0.0000 0.5000 0.0000
Pm: 0.5000 0.0000 0.0000
Ge: 0.1250 0.1250 0.1250
Ge: 0.8750 0.8750 0.8750

The volume is 523.60 Å³ per cell. The calculation puts the energy above the lowest structure with this stoichiometry at 0.708 eV/atom.